(1)
Computed, not measured: crystalline CoCuSb2 at its relaxed geometry at the PBE level of DFT.

Lattice parameters (Å, degrees): 3.155 3.155 7.210 90.00 90.00 90.00
Sites, in units of the cell vectors:
Co1 0.500 0.500 0.250
Cu1 0.500 0.500 0.750
Sb1 0.000 0.000 0.022
Sb2 0.000 0.000 0.478

Output
- electronic total energy (eV/atom) = -4.600
- formation energy (no corrections) (eV/atom) = 0.26



(2)
Computed, not measured: crystalline CaCo2As at its relaxed geometry at the PBE level of DFT.

Lattice parameters (Å, degrees): 4.584 4.584 4.584 130.54 117.70 83.41
Sites, in units of the cell vectors:
As1 0.750 0.250 0.500
Co1 0.952 0.952 0.000
Co2 0.548 0.548 0.000
Ca1 0.250 0.750 0.500

Output
- energy of formation from the pure elements (eV/atom) = 0.091
- electronic total energy (eV/atom) = -5.125



(3)
Computed, not measured: crystalline PmHoGa2Ni2 at its relaxed geometry at the PBE level of DFT.

Lattice parameters (Å, degrees): 4.308 4.308 7.130 90.00 90.00 120.00
Sites, in units of the cell vectors:
Pm1 0.000 0.000 0.000
Ho1 0.000 0.000 0.500
Ga1 0.667 0.333 0.734
Ga2 0.333 0.667 0.266
Ni1 0.667 0.333 0.270
Ni2 0.333 0.667 0.730

Output
- energy of formation from the pure elements (eV/atom) = -0.584
- electronic total energy (eV/atom) = -5.075



Question: What is the formula in the third record?
Answer: PmHoGa2Ni2